This record from Alexandria via LeMat-Bulk describes a relaxed K3Ir crystal. The functional is PBE.

Cell and atoms, written as POSCAR:
```
K3Ir
1.0
4.430 0.000 0.000
-2.215 3.837 0.000
0.000 0.000 12.002
K Ir
3 1
Direct
0.000 0.000 0.000 K
0.667 0.333 0.337 K
0.667 0.333 0.663 K
0.000 0.000 0.500 Ir
```

Properties
**Space-group type**: P-6m2 (187)
**Total magnetic moment**: 1.33 μB/cell
**Energy above the lowest structure with this stoichiometry**: 0.230 eV per atom
**V**: 204 Å³ per cell
**D(E_F)**: 7.97 states/eV/cell